No. 1
10
Lattice="3.731 0.000 -0.498 0.000 5.454 0.000 -0.014 0.000 14.018" Properties=species:S:1:pos:R:3 comment="PrNd2Ag2 PBE optimized geometry" formation_enthalpy_0k_ev_per_atom=-0.1845 relative_energy_ev_per_atom=0.000 pbc="T T T"
Pr 3.181 4.091 9.524
Pr 0.536 1.364 3.996
Nd 0.176 4.091 1.315
Nd 3.540 1.364 12.205
Nd 0.869 4.091 6.448
Nd 2.847 1.364 7.072
Ag 2.390 4.091 3.650
Ag 1.326 1.364 9.870
Ag 1.681 4.091 12.480
Ag 2.036 1.364 1.040

No. 2
7
Lattice="4.197 0.000 0.000 2.098 6.340 0.543 2.098 1.911 6.671" Properties=species:S:1:pos:R:3 comment="Ac2SnSe2O2 PBE optimized geometry" energy_ev_per_atom=-6.35 pbc="T T T"
Ac 2.098 2.771 1.902
Ac 6.295 5.480 5.312
Sn 0.000 0.000 0.000
Se 4.197 2.556 4.561
Se 4.197 5.695 2.652
O 4.197 5.949 6.438
O 4.197 2.302 0.776

No. 3
6
Lattice="4.149 0.000 0.000 -2.075 3.593 0.000 0.000 0.000 8.116" Properties=species:S:1:pos:R:3 comment="AcHoNi2As2 PBE optimized geometry" formation_enthalpy_0k_ev_per_atom=-1.0141 pbc="T T T"
Ac 0.000 0.000 0.000
Ho 0.000 0.000 4.058
Ni 2.075 1.198 2.202
Ni 0.000 2.396 5.914
As 2.075 1.198 5.888
As 0.000 2.396 2.228

No. 4
5
Lattice="6.180 0.000 0.000 0.000 4.532 0.000 0.000 0.000 6.180" Properties=species:S:1:pos:R:3 comment="Ba2LiWS PBE optimized geometry" energy_ev_per_atom=-4.32 pbc="T T T"
S 0.000 0.000 0.000
Ba 0.000 0.000 3.090
Ba 3.090 0.000 0.000
W 3.090 2.266 3.090
Li 0.000 2.266 0.000

No. 5
11
Lattice="6.182 0.000 0.000 3.091 5.353 0.000 3.091 1.784 6.636" Properties=species:S:1:pos:R:3 comment="Cs2TlSi2O6 PBE optimized geometry" energy_ev_per_atom=-5.90 pbc="T T T"
Cs 9.272 5.353 4.156
Cs 3.091 1.784 2.480
Tl 0.000 0.000 0.000
Si 6.182 3.569 5.129
Si 6.182 3.569 1.507
O 7.562 4.366 1.537
O 4.801 4.366 1.537
O 6.182 1.975 1.537
O 6.182 5.163 5.098
O 7.562 2.772 5.098
O 4.801 2.772 5.098

No. 6
5
Lattice="5.165 0.000 0.000 0.000 5.165 0.000 0.000 0.000 5.077" Properties=species:S:1:pos:R:3 comment="TcTeS2Cl PBE optimized geometry" relative_energy_ev_per_atom=0.782 pbc="T T T"
S 0.000 2.582 0.000
S 2.582 0.000 0.000
Te 0.000 0.000 0.000
Tc 2.582 2.582 2.539
Cl 0.000 0.000 2.539